Record 1
Density functional theory data (PBE) for an optimized crystal structure of Mn2BeRe.

crystal system: trigonal
size of the total moment: 0.254 μB/f.u.
symmetry: R3m (160)
ΔE_f: 0.19 eV per atom

Cell: 8.130 8.130 8.130 Å, 18.45 18.45 18.45°
Fractional positions:
Mn  0.255  0.255  0.255
Mn  0.001  0.001  0.001
Be  0.746  0.746  0.746
Re  0.498  0.498  0.498

Record 2
Density functional theory data (PBE) for an optimized crystal structure of Mn2BeRe.

crystal system: tetragonal
size of the total moment: 0.000 μB/f.u.
symmetry: P4mm (99)
ΔE_f: -0.01 eV per atom

Cell: 2.701 2.701 6.051 Å, 90.00 90.00 90.00°
Fractional positions:
Re  0.000  0.000  0.518
Be  0.500  0.500  0.779
Mn  0.500  0.500  0.212
Mn  0.000  0.000  0.990

Record 3
Density functional theory data (PBE) for an optimized crystal structure of Mn2BeRe.

crystal system: tetragonal
size of the total moment: 3.881 μB/f.u.
symmetry: I-42d (122)
ΔE_f: 0.61 eV per atom

Cell: 6.391 6.391 5.108 Å, 51.27 51.27 90.00°
Fractional positions:
Be  0.500  0.500  0.000
Re  0.000  0.000  0.000
Re  0.750  0.250  0.500
Be  0.250  0.750  0.500
Mn  0.375  0.414  0.750
Mn  0.586  0.125  0.250
Mn  0.164  0.625  0.250
Mn  0.875  0.836  0.750

Record 4
Density functional theory data (PBE) for an optimized crystal structure of MnBeRe.

crystal system: tetragonal
ΔE to the lowest computed polymorph: 0 meV per atom
size of the total moment: 0.000 μB/f.u.
symmetry: I4mm (107)
ΔE_f: -0.12 eV per atom

Cell: 4.562 4.562 4.562 Å, 143.12 143.12 53.14°
Fractional positions:
Be  0.992  0.992  0.000
Mn  0.339  0.339  0.000
Re  0.669  0.669  0.000

Record 5
Density functional theory data (PBE) for an optimized crystal structure of Mn2BeRe.

crystal system: trigonal
size of the total moment: 1.178 μB/f.u.
symmetry: R-3m (166)
ΔE_f: 0.21 eV per atom

Cell: 8.043 8.043 8.043 Å, 18.78 18.78 18.78°
Fractional positions:
Re  0.250  0.250  0.250
Mn  0.006  0.006  0.006
Mn  0.494  0.494  0.494
Be  0.750  0.750  0.750

Record 6
Density functional theory data (PBE) for an optimized crystal structure of MnBeRe.

crystal system: trigonal
ΔE to the lowest computed polymorph: 88 meV per atom
size of the total moment: 1.143 μB/f.u.
symmetry: P3m1 (156)
ΔE_f: -0.03 eV per atom

Cell: 3.978 3.978 2.578 Å, 90.00 90.00 120.00°
Fractional positions:
Mn  0.333  0.667  0.310
Re  0.667  0.333  0.630
Be  0.000  0.000  0.060

Record 7
Density functional theory data (PBE) for an optimized crystal structure of MnBe17Re.

crystal system: trigonal
size of the total moment: 2.628 μB/f.u.
symmetry: R3m (160)
ΔE_f: -0.11 eV per atom

Cell: 5.447 5.447 5.447 Å, 82.91 82.91 82.91°
Fractional positions:
Mn  0.342  0.342  0.342
Be  0.695  0.001  0.304
Be  0.304  0.001  0.695
Be  0.501  0.996  0.996
Be  0.162  0.651  0.651
Be  0.350  0.839  0.350
Be  0.651  0.162  0.651
Be  0.996  0.996  0.501
Be  0.695  0.304  0.001
Be  0.651  0.651  0.162
Be  0.839  0.350  0.350
Be  0.001  0.304  0.695
Be  0.102  0.102  0.102
Be  0.350  0.350  0.839
Be  0.996  0.501  0.996
Re  0.660  0.660  0.660
Be  0.001  0.695  0.304
Be  0.899  0.899  0.899
Be  0.304  0.695  0.001

Record 8
Density functional theory data (PBE) for an optimized crystal structure of Mn2Be9Re.

crystal system: trigonal
size of the total moment: 2.822 μB/f.u.
symmetry: R-3m (166)
ΔE_f: -0.21 eV per atom

Cell: 4.223 4.223 7.143 Å, 72.80 72.80 60.00°
Fractional positions:
Be  0.586  0.586  0.747
Be  0.586  0.080  0.747
Mn  0.854  0.854  0.439
Be  0.920  0.414  0.253
Be  0.414  0.414  0.253
Be  0.334  0.334  0.998
Re  0.000  0.000  0.000
Be  0.500  0.500  0.500
Mn  0.146  0.146  0.561
Be  0.414  0.920  0.253
Be  0.080  0.586  0.747
Be  0.666  0.666  0.002

Record 9
Density functional theory data (PBE) for an optimized crystal structure of Mn2BeRe.

crystal system: orthorhombic
size of the total moment: 2.892 μB/f.u.
symmetry: Pmmm (47)
ΔE_f: 0.08 eV per atom

Cell: 3.111 3.912 3.831 Å, 90.00 90.00 90.00°
Fractional positions:
Mn  0.000  0.000  0.000
Mn  0.500  0.500  0.000
Be  0.000  0.500  0.500
Re  0.500  0.000  0.500

Record 10
Density functional theory data (PBE) for an optimized crystal structure of Mn4BeRe.

crystal system: cubic
size of the total moment: 0.001 μB/f.u.
symmetry: F-43m (216)
ΔE_f: 0.11 eV per atom

Cell: 4.598 4.598 4.598 Å, 60.00 60.00 60.00°
Fractional positions:
Mn  0.373  0.373  0.373
Mn  0.373  0.880  0.373
Mn  0.880  0.373  0.373
Mn  0.373  0.373  0.880
Re  0.750  0.750  0.750
Be  0.000  0.000  0.000

Record 11
Density functional theory data (PBE) for an optimized crystal structure of Mn2BeRe.

crystal system: orthorhombic
size of the total moment: 0.000 μB/f.u.
symmetry: Immm (71)
ΔE_f: 0.00 eV per atom

Cell: 4.703 4.703 4.703 Å, 144.94 131.10 61.59°
Fractional positions:
Mn  0.508  0.508  0.000
Mn  0.992  0.992  0.000
Be  0.750  0.250  0.500
Re  0.250  0.750  0.500

Record 12
Density functional theory data (PBE) for an optimized crystal structure of Mn2Be2Re.

crystal system: tetragonal
size of the total moment: 2.904 μB/f.u.
symmetry: P4/mbm (127)
ΔE_f: -0.11 eV per atom

Cell: 6.136 6.136 2.780 Å, 90.00 90.00 90.00°
Fractional positions:
Be  0.878  0.622  0.000
Mn  0.671  0.829  0.500
Mn  0.829  0.329  0.500
Be  0.122  0.378  0.000
Be  0.622  0.122  0.000
Re  0.500  0.500  0.000
Mn  0.329  0.171  0.500
Be  0.378  0.878  0.000
Re  0.000  0.000  0.000
Mn  0.171  0.671  0.500